<a>
Entry from Alexandria via LeMat-Bulk: a relaxed structure of ZrZnP2 (GGA-PBE).

Geometry as CIF:
```
data_ZrZnP2
_chemical_formula_sum 'Zr2 Zn2 P4'
_symmetry_space_group_name_H-M 'I -4 m 2'
_symmetry_Int_Tables_number 119
_symmetry_space_group_name_Hall 'I -4 -2'
_cell_length_a 3.7062
_cell_length_b 3.7062
_cell_length_c 9.6064
_cell_angle_alpha 90.00
_cell_angle_beta 90.00
_cell_angle_gamma 90.00
loop_
_atom_site_label
_atom_site_type_symbol
_atom_site_fract_x
_atom_site_fract_y
_atom_site_fract_z
_atom_site_occupancy
Zr1 Zr 0.0000 0.0000 0.0000 1
Zn1 Zn 0.0000 0.5000 0.2500 1
P1 P 0.0000 0.0000 0.5000 1
P2 P 0.0000 0.5000 0.7500 1
```

Summary:
**M_tot**: 0.0 Bohr magnetons per cell



<b>
Entry from Alexandria via LeMat-Bulk: a relaxed structure of ZrZnP2 (GGA-PBE).

Geometry as CIF:
```
data_ZrZnP2
_chemical_formula_sum 'Zr4 Zn4 P8'
_symmetry_space_group_name_H-M 'F m -3 m'
_symmetry_Int_Tables_number 225
_symmetry_space_group_name_Hall '-F 4 2 3'
_cell_length_a 6.4586
_cell_length_b 6.4586
_cell_length_c 6.4586
_cell_angle_alpha 90.00
_cell_angle_beta 90.00
_cell_angle_gamma 90.00
loop_
_atom_site_label
_atom_site_type_symbol
_atom_site_fract_x
_atom_site_fract_y
_atom_site_fract_z
_atom_site_occupancy
Zr1 Zr 0.0000 0.0000 0.0000 1
Zn1 Zn 0.0000 0.0000 0.5000 1
P1 P 0.2500 0.2500 0.2500 1
```

Summary:
**M_tot**: 0.0 Bohr magnetons per cell



On energetic grounds, <a> is preferred over the next structure by 251 meV per atom.



<a>
Entry from Alexandria via LeMat-Bulk: a relaxed structure of ZrZnP2 (GGA-PBE).

Geometry as CIF:
```
data_ZrZnP2
_chemical_formula_sum 'Zr2 Zn2 P4'
_symmetry_space_group_name_H-M 'C 1 m 1'
_symmetry_Int_Tables_number 8
_cell_length_a 10.8852
_cell_length_b 3.5082
_cell_length_c 3.7167
_cell_angle_alpha 90.00
_cell_angle_beta 90.63
_cell_angle_gamma 90.00
loop_
_symmetry_equiv_pos_as_xyz
'x,y,z'
'x,-y,z'
'x+1/2,y+1/2,z'
'x+1/2,-y+1/2,z'
loop_
_atom_site_label
_atom_site_type_symbol
_atom_site_fract_x
_atom_site_fract_y
_atom_site_fract_z
_atom_site_occupancy
Zr1 Zr 0.0000 0.0000 0.0000 1
Zn1 Zn 0.2801 0.5000 0.4929 1
P1 P 0.0650 0.5000 0.5019 1
P2 P 0.3100 0.0000 0.9956 1
```

Summary:
**M_tot**: 0.0 Bohr magnetons per cell



<b>
Entry from Alexandria via LeMat-Bulk: a relaxed structure of ZrZnP2 (GGA-PBE).

Geometry as CIF:
```
data_ZrZnP2
_chemical_formula_sum 'Zr4 Zn4 P8'
_symmetry_space_group_name_H-M 'I -4 2 d'
_symmetry_Int_Tables_number 122
_symmetry_space_group_name_Hall 'I -4 2bw'
_cell_length_a 5.7538
_cell_length_b 5.7538
_cell_length_c 11.3625
_cell_angle_alpha 90.00
_cell_angle_beta 90.00
_cell_angle_gamma 90.00
loop_
_atom_site_label
_atom_site_type_symbol
_atom_site_fract_x
_atom_site_fract_y
_atom_site_fract_z
_atom_site_occupancy
Zr1 Zr 0.0000 0.0000 0.0000 1
Zn1 Zn 0.0000 0.0000 0.5000 1
P1 P 0.2337 0.2500 0.6250 1
```

Summary:
**M_tot**: 0.0 Bohr magnetons per cell



<c>
Entry from Alexandria via LeMat-Bulk: a relaxed structure of ZrZnP2 (GGA-PBE).

Geometry as CIF:
```
data_ZrZnP2
_chemical_formula_sum 'Zr3 Zn3 P6'
_symmetry_space_group_name_H-M 'R 3 m'
_symmetry_Int_Tables_number 160
_symmetry_space_group_name_Hall 'R 3 -2"'
_cell_length_a 3.2121
_cell_length_b 3.2121
_cell_length_c 23.1166
_cell_angle_alpha 90.00
_cell_angle_beta 90.00
_cell_angle_gamma 120.00
loop_
_atom_site_label
_atom_site_type_symbol
_atom_site_fract_x
_atom_site_fract_y
_atom_site_fract_z
_atom_site_occupancy
Zr1 Zr 0.0000 0.0000 0.0000 1
Zn1 Zn 0.0000 0.0000 0.7667 1
P1 P 0.0000 0.0000 0.2427 1
P2 P 0.0000 0.0000 0.5153 1
```

Summary:
**M_tot**: 0.0 Bohr magnetons per cell



On energetic grounds, <a> is preferred over the next structure by 192 meV per atom.